ScCo2Sb2: optimized geometry, GGA-PBE.

Lattice parameters (Å, degrees): 4.599 4.599 8.690 90.00 90.00 90.00
Space group I4/mmm (No. 139)
One atom of each set of equivalent atoms:
Sc (0.000, 0.000, 0.000) (multiplicity 2)
Co (0.000, 0.000, 0.369) (multiplicity 4)
Sb (0.000, 0.500, 0.250) (multiplicity 4)

formation energy without anion corrections: -0.58 eV/f.u.
distance to the lowest polymorph of the same formula: 9.07 kJ per mole of atoms
DOS(E_F): 9.08 states/eV/cell
total magnetic moment: 0.00 μB/cell